No. 1
The following is a DFT calculation (PBE) of a relaxed structure of Nd2Cd3Ag4.

Summary:
Volume: 23.3 A^3/atom
Excess energy over the best structure of this formula in the dataset: 43 meV per atom

Cell lengths 9.020, 9.020, 8.212 Å; angles 90.00, 90.00, 141.11 degrees
Sites, in units of the cell vectors:
1 Nd 0.103 0.897 0.902
2 Nd 0.397 0.603 0.402
3 Nd 0.603 0.397 0.598
4 Nd 0.897 0.103 0.098
5 Cd 0.000 0.000 0.500
6 Cd 0.016 0.484 0.750
7 Cd 0.484 0.016 0.250
8 Cd 0.500 0.500 0.000
9 Cd 0.516 0.984 0.750
10 Cd 0.984 0.516 0.250
11 Ag 0.169 0.831 0.521
12 Ag 0.184 0.316 0.750
13 Ag 0.316 0.184 0.250
14 Ag 0.331 0.669 0.021
15 Ag 0.669 0.331 0.979
16 Ag 0.684 0.816 0.750
17 Ag 0.816 0.684 0.250
18 Ag 0.831 0.169 0.479



No. 2
The following is a DFT calculation (PBE) of a relaxed structure of Nd2Cd16Ag.

Summary:
Volume: 23.0 A^3/atom
Energy: -1.576 eV per atom

Cell lengths 7.659, 7.659, 7.659 Å; angles 82.07, 82.07, 82.07 degrees
Sites, in units of the cell vectors:
1 Nd 0.000 0.000 0.000
2 Nd 0.338 0.338 0.338
3 Cd 0.036 0.036 0.485
4 Cd 0.036 0.485 0.036
5 Cd 0.144 0.685 0.685
6 Cd 0.316 0.316 0.806
7 Cd 0.316 0.806 0.316
8 Cd 0.371 0.668 0.966
9 Cd 0.371 0.966 0.668
10 Cd 0.485 0.036 0.036
11 Cd 0.565 0.565 0.565
12 Cd 0.668 0.371 0.966
13 Cd 0.668 0.966 0.371
14 Cd 0.685 0.144 0.685
15 Cd 0.685 0.685 0.144
16 Cd 0.806 0.316 0.316
17 Cd 0.966 0.371 0.668
18 Cd 0.966 0.668 0.371
19 Ag 0.761 0.761 0.761



No. 3
The following is a DFT calculation (PBE) of a relaxed structure of NdCdNiAg.

Summary:
Volume: 20.8 A^3/atom
Energy: -3.734 eV per atom

Cell lengths 6.928, 6.928, 6.928 Å; angles 90.00, 90.00, 90.00 degrees
Sites, in units of the cell vectors:
1 Nd 0.000 0.000 0.000
2 Nd 0.000 0.500 0.500
3 Nd 0.500 0.000 0.500
4 Nd 0.500 0.500 0.000
5 Cd 0.000 0.000 0.500
6 Cd 0.000 0.500 0.000
7 Cd 0.500 0.000 0.000
8 Cd 0.500 0.500 0.500
9 Ni 0.250 0.250 0.250
10 Ni 0.250 0.750 0.750
11 Ni 0.750 0.250 0.750
12 Ni 0.750 0.750 0.250
13 Ag 0.250 0.250 0.750
14 Ag 0.250 0.750 0.250
15 Ag 0.750 0.250 0.250
16 Ag 0.750 0.750 0.750



No. 4
The following is a DFT calculation (PBE) of a relaxed structure of NdCdAgPb.

Summary:
Volume: 25.4 A^3/atom
Energy: -3.305 eV per atom

Cell lengths 7.408, 7.408, 7.408 Å; angles 90.00, 90.00, 90.00 degrees
Sites, in units of the cell vectors:
1 Nd 0.000 0.000 0.000
2 Nd 0.000 0.500 0.500
3 Nd 0.500 0.000 0.500
4 Nd 0.500 0.500 0.000
5 Cd 0.000 0.000 0.500
6 Cd 0.000 0.500 0.000
7 Cd 0.500 0.000 0.000
8 Cd 0.500 0.500 0.500
9 Ag 0.250 0.250 0.750
10 Ag 0.250 0.750 0.250
11 Ag 0.750 0.250 0.250
12 Ag 0.750 0.750 0.750
13 Pb 0.250 0.250 0.250
14 Pb 0.250 0.750 0.750
15 Pb 0.750 0.250 0.750
16 Pb 0.750 0.750 0.250